1.
# Ac4Pm3Tm, optimized geometry, DFT PBE-GGA
# **Theoretical density**: 7.99 Mg/m³
# **Total energy**: -67.94 eV per cell
# **Energy of formation from the pure elements**: 1.19 eV per formula unit
# **Crystal system**: orthorhombic
# **Calculated volume**: 629 Å³/cell
data_Ac4Pm3Tm
_symmetry_space_group_name_H-M 'I m m m'
_symmetry_Int_Tables_number 71
_symmetry_space_group_name_Hall '-I 2 2'
_cell_length_a 3.700
_cell_length_b 12.082
_cell_length_c 14.058
_cell_angle_alpha 90.00
_cell_angle_beta 90.00
_cell_angle_gamma 90.00
loop_
_atom_site_label
_atom_site_type_symbol
_atom_site_fract_x
_atom_site_fract_y
_atom_site_fract_z
_atom_site_occupancy
Ac1 Ac 0.000 0.250 0.131 1
Pm1 Pm 0.000 0.000 0.270 1
Pm2 Pm 0.000 0.500 0.500 1
Tm1 Tm 0.000 0.500 0.000 1

2.
# Ac14PmTm, optimized geometry, DFT PBE-GGA
# **Theoretical density**: 8.34 Mg/m³
# **Total energy**: -66.28 eV per cell
# **Energy of formation from the pure elements**: 0.46 eV per formula unit
# **Crystal system**: tetragonal
# **Calculated volume**: 695 Å³/cell
data_Ac14PmTm
_symmetry_space_group_name_H-M 'P 4/m m m'
_symmetry_Int_Tables_number 123
_symmetry_space_group_name_Hall '-P 4 2'
_cell_length_a 7.878
_cell_length_b 7.878
_cell_length_c 11.201
_cell_angle_alpha 90.00
_cell_angle_beta 90.00
_cell_angle_gamma 90.00
loop_
_atom_site_label
_atom_site_type_symbol
_atom_site_fract_x
_atom_site_fract_y
_atom_site_fract_z
_atom_site_occupancy
Ac1 Ac 0.000 0.000 0.000 1
Ac2 Ac 0.000 0.500 0.000 1
Ac3 Ac 0.000 0.500 0.500 1
Ac4 Ac 0.249 0.249 0.257 1
Ac5 Ac 0.500 0.500 0.000 1
Pm1 Pm 0.500 0.500 0.500 1
Tm1 Tm 0.000 0.000 0.500 1

3.
# AcPm2Tm4, optimized geometry, DFT PBE-GGA
# **Theoretical density**: 8.19 Mg/m³
# **Total energy**: -60.03 eV per cell
# **Energy of formation from the pure elements**: 1.48 eV per formula unit
# **Crystal system**: tetragonal
# **ΔE to the lowest computed polymorph**: 174 meV per atom
# **Calculated volume**: 484 Å³/cell
data_AcPm2Tm4
_symmetry_space_group_name_H-M 'I 4/m m m'
_symmetry_Int_Tables_number 139
_symmetry_space_group_name_Hall '-I 4 2'
_cell_length_a 8.593
_cell_length_b 8.593
_cell_length_c 6.552
_cell_angle_alpha 90.00
_cell_angle_beta 90.00
_cell_angle_gamma 90.00
loop_
_atom_site_label
_atom_site_type_symbol
_atom_site_fract_x
_atom_site_fract_y
_atom_site_fract_z
_atom_site_occupancy
Ac1 Ac 0.000 0.000 0.000 1
Pm1 Pm 0.000 0.500 0.250 1
Tm1 Tm 0.195 0.195 0.500 1

4.
# AcPm2Tm4, optimized geometry, DFT PBE-GGA
# **Theoretical density**: 8.44 Mg/m³
# **Total energy**: -62.47 eV per cell
# **Energy of formation from the pure elements**: 0.26 eV per formula unit
# **Crystal system**: triclinic
# **ΔE to the lowest computed polymorph**: 0 meV per atom
# **Calculated volume**: 469 Å³/cell
data_AcPm2Tm4
_symmetry_space_group_name_H-M 'P 1'
_symmetry_Int_Tables_number 1
_cell_length_a 6.829
_cell_length_b 8.577
_cell_length_c 9.315
_cell_angle_alpha 65.57
_cell_angle_beta 72.00
_cell_angle_gamma 76.80
loop_
_symmetry_equiv_pos_as_xyz
'x,y,z'
loop_
_atom_site_label
_atom_site_type_symbol
_atom_site_fract_x
_atom_site_fract_y
_atom_site_fract_z
_atom_site_occupancy
Ac1 Ac 0.000 0.000 0.000 1
Ac2 Ac 0.346 0.342 0.828 1
Pm1 Pm 0.298 0.147 0.559 1
Pm2 Pm 0.444 0.721 0.853 1
Pm3 Pm 0.481 0.899 0.122 1
Pm4 Pm 0.723 0.858 0.427 1
Tm1 Tm 0.055 0.195 0.265 1
Tm2 Tm 0.152 0.565 0.285 1
Tm3 Tm 0.195 0.765 0.540 1
Tm4 Tm 0.581 0.293 0.145 1
Tm5 Tm 0.633 0.480 0.396 1
Tm6 Tm 0.778 0.049 0.678 1
Tm7 Tm 0.870 0.437 0.702 1
Tm8 Tm 0.908 0.616 0.972 1

5.
# Ac2Pm5Tm6, optimized geometry, DFT PBE-GGA
# **Theoretical density**: 8.17 Mg/m³
# **Total energy**: -114.62 eV per cell
# **Energy of formation from the pure elements**: 1.49 eV per formula unit
# **Crystal system**: orthorhombic
# **Calculated volume**: 892 Å³/cell
data_Ac2Pm5Tm6
_symmetry_space_group_name_H-M 'P b a m'
_symmetry_Int_Tables_number 55
_cell_length_a 11.920
_cell_length_b 20.514
_cell_length_c 3.646
_cell_angle_alpha 90.00
_cell_angle_beta 90.00
_cell_angle_gamma 90.00
loop_
_symmetry_equiv_pos_as_xyz
'x,y,z'
'-x,-y,-z'
'-x,-y,z'
'x,y,-z'
'x+1/2,-y+1/2,-z'
'-x+1/2,y+1/2,z'
'-x+1/2,y+1/2,-z'
'x+1/2,-y+1/2,z'
loop_
_atom_site_label
_atom_site_type_symbol
_atom_site_fract_x
_atom_site_fract_y
_atom_site_fract_z
_atom_site_occupancy
Ac1 Ac 0.165 0.224 0.000 1
Pm1 Pm 0.000 0.500 0.500 1
Pm2 Pm 0.095 0.785 0.500 1
Pm3 Pm 0.201 0.053 0.500 1
Tm1 Tm 0.062 0.927 0.000 1
Tm2 Tm 0.070 0.639 0.000 1
Tm3 Tm 0.185 0.381 0.500 1

6.
# AcPm7Tm12, optimized geometry, DFT PBE-GGA
# **Theoretical density**: 7.63 Mg/m³
# **Total energy**: -156.57 eV per cell
# **Energy of formation from the pure elements**: 12.74 eV per formula unit
# **Crystal system**: cubic
# **Calculated volume**: 1423 Å³/cell
data_AcPm7Tm12
_symmetry_space_group_name_H-M 'I m -3 m'
_symmetry_Int_Tables_number 229
_symmetry_space_group_name_Hall '-I 4 2 3'
_cell_length_a 11.248
_cell_length_b 11.248
_cell_length_c 11.248
_cell_angle_alpha 90.00
_cell_angle_beta 90.00
_cell_angle_gamma 90.00
loop_
_atom_site_label
_atom_site_type_symbol
_atom_site_fract_x
_atom_site_fract_y
_atom_site_fract_z
_atom_site_occupancy
Ac1 Ac 0.000 0.000 0.000 1
Pm1 Pm 0.000 0.000 0.500 1
Pm2 Pm 0.250 0.250 0.250 1
Tm1 Tm 0.000 0.256 0.256 1

7.
# AcPm5Tm2, optimized geometry, DFT PBE-GGA
# **Theoretical density**: 7.80 Mg/m³
# **Total energy**: -73.18 eV per cell
# **Energy of formation from the pure elements**: 0.21 eV per formula unit
# **Crystal system**: orthorhombic
# **ΔE to the lowest computed polymorph**: 0 meV per atom
# **Calculated volume**: 549 Å³/cell
data_AcPm5Tm2
_symmetry_space_group_name_H-M 'P b a m'
_symmetry_Int_Tables_number 55
_cell_length_a 7.306
_cell_length_b 14.614
_cell_length_c 5.142
_cell_angle_alpha 90.00
_cell_angle_beta 90.00
_cell_angle_gamma 90.00
loop_
_symmetry_equiv_pos_as_xyz
'x,y,z'
'-x,-y,-z'
'-x,-y,z'
'x,y,-z'
'x+1/2,-y+1/2,-z'
'-x+1/2,y+1/2,z'
'-x+1/2,y+1/2,-z'
'x+1/2,-y+1/2,z'
loop_
_atom_site_label
_atom_site_type_symbol
_atom_site_fract_x
_atom_site_fract_y
_atom_site_fract_z
_atom_site_occupancy
Ac1 Ac 0.000 0.000 0.000 1
Pm1 Pm 0.000 0.500 0.000 1
Pm2 Pm 0.002 0.252 0.000 1
Pm3 Pm 0.245 0.628 0.500 1
Tm1 Tm 0.249 0.373 0.500 1

8.
# Ac6Pm5Tm2, optimized geometry, DFT PBE-GGA
# **Theoretical density**: 7.89 Mg/m³
# **Total energy**: -110.65 eV per cell
# **Energy of formation from the pure elements**: 2.02 eV per formula unit
# **Crystal system**: orthorhombic
# **Calculated volume**: 1020 Å³/cell
data_Ac6Pm5Tm2
_symmetry_space_group_name_H-M 'P b a m'
_symmetry_Int_Tables_number 55
_cell_length_a 11.322
_cell_length_b 24.043
_cell_length_c 3.749
_cell_angle_alpha 90.00
_cell_angle_beta 90.00
_cell_angle_gamma 90.00
loop_
_symmetry_equiv_pos_as_xyz
'x,y,z'
'-x,-y,-z'
'-x,-y,z'
'x,y,-z'
'x+1/2,-y+1/2,-z'
'-x+1/2,y+1/2,z'
'-x+1/2,y+1/2,-z'
'x+1/2,-y+1/2,z'
loop_
_atom_site_label
_atom_site_type_symbol
_atom_site_fract_x
_atom_site_fract_y
_atom_site_fract_z
_atom_site_occupancy
Ac1 Ac 0.018 0.113 0.000 1
Ac2 Ac 0.148 0.385 0.000 1
Ac3 Ac 0.166 0.634 0.500 1
Pm1 Pm 0.000 0.500 0.500 1
Pm2 Pm 0.084 0.250 0.500 1
Pm3 Pm 0.164 0.997 0.500 1
Tm1 Tm 0.166 0.765 0.000 1